w.
# In4Br7 PBE relaxed
# **V**: 2525 Å³/cell
data_In4Br7
_cell_length_a 7.8024
_cell_length_b 7.8024
_cell_length_c 47.8869
_cell_angle_alpha 90.00
_cell_angle_beta 90.00
_cell_angle_gamma 120.00
_space_group_name_H-M_alt 'R -3 m'
_space_group_IT_number 166
_space_group_name_Hall '-R 3 2"'
loop_
_atom_site_label
_atom_site_type_symbol
_atom_site_fract_x
_atom_site_fract_y
_atom_site_fract_z
_atom_site_occupancy
In1 In 0.0000 0.0000 0.0000 1
In2 In 0.0000 0.0000 0.0836 1
In3 In 0.0000 0.0000 0.2066 1
In4 In 0.0000 0.0000 0.3465 1
In5 In 0.0000 0.0000 0.5000 1
Br1 Br 0.0000 0.0000 0.1535 1
Br2 Br 0.0072 0.5036 0.6334 1
Br3 Br 0.0198 0.5099 0.1084 1

x.
# In4Br7 PBE relaxed
# **V**: 3415 Å³/cell
data_In4Br7
_cell_length_a 13.822
_cell_length_b 7.684
_cell_length_c 32.473
_cell_angle_alpha 90.00
_cell_angle_beta 98.04
_cell_angle_gamma 90.00
_space_group_name_H-M_alt 'C 1 2/c 1'
_space_group_IT_number 15
loop_
_space_group_symop_operation_xyz
'x,y,z'
'-x,-y,-z'
'-x,y,-z+1/2'
'x,-y,z+1/2'
'x+1/2,y+1/2,z'
'-x+1/2,-y+1/2,-z'
'-x+1/2,y+1/2,-z+1/2'
'x+1/2,-y+1/2,z+1/2'
loop_
_atom_site_label
_atom_site_type_symbol
_atom_site_fract_x
_atom_site_fract_y
_atom_site_fract_z
_atom_site_occupancy
In1 In 0.000 0.169 0.250 1
In2 In 0.077 0.248 0.482 1
In3 In 0.143 0.226 0.686 1
In4 In 0.210 0.241 0.875 1
In5 In 0.250 0.250 0.000 1
Br1 Br 0.017 0.004 0.652 1
Br2 Br 0.080 0.329 0.950 1
Br3 Br 0.087 0.468 0.166 1
Br4 Br 0.151 0.058 0.051 1
Br5 Br 0.152 0.160 0.764 1
Br6 Br 0.189 0.334 0.335 1
Br7 Br 0.229 0.465 0.549 1

Tell me which of them is the most stable. Sure, it is x.

w.
# In3Br2 PBE relaxed
# **V**: 997 Å³/cell
data_In3Br2
_cell_length_a 6.3951
_cell_length_b 6.3951
_cell_length_c 28.1494
_cell_angle_alpha 90.00
_cell_angle_beta 90.00
_cell_angle_gamma 120.00
_space_group_name_H-M_alt 'R -3 c'
_space_group_IT_number 167
_space_group_name_Hall '-R 3 2"c'
loop_
_atom_site_label
_atom_site_type_symbol
_atom_site_fract_x
_atom_site_fract_y
_atom_site_fract_z
_atom_site_occupancy
In1 In 0.0000 0.4031 0.2500 1
Br1 Br 0.0000 0.0000 0.1834 1

x.
# In3Br2 PBE relaxed
# **V**: 182 Å³/cell
data_In3Br2
_cell_length_a 5.6403
_cell_length_b 5.6403
_cell_length_c 6.6211
_cell_angle_alpha 90.00
_cell_angle_beta 90.00
_cell_angle_gamma 120.00
_space_group_name_H-M_alt 'P -3 m 1'
_space_group_IT_number 164
_space_group_name_Hall '-P 3 2"'
loop_
_atom_site_label
_atom_site_type_symbol
_atom_site_fract_x
_atom_site_fract_y
_atom_site_fract_z
_atom_site_occupancy
In1 In 0.0000 0.0000 0.0000 1
In2 In 0.3333 0.6667 0.3124 1
Br1 Br 0.3333 0.6667 0.8340 1

y.
# In3Br2 PBE relaxed
# **V**: 468 Å³/cell
data_In3Br2
_cell_length_a 3.8562
_cell_length_b 3.8562
_cell_length_c 36.3715
_cell_angle_alpha 90.00
_cell_angle_beta 90.00
_cell_angle_gamma 120.00
_space_group_name_H-M_alt 'R -3 m'
_space_group_IT_number 166
_space_group_name_Hall '-R 3 2"'
loop_
_atom_site_label
_atom_site_type_symbol
_atom_site_fract_x
_atom_site_fract_y
_atom_site_fract_z
_atom_site_occupancy
In1 In 0.0000 0.0000 0.0000 1
In2 In 0.0000 0.0000 0.2048 1
Br1 Br 0.0000 0.0000 0.4005 1

Tell me which of them is the most stable. Sure, it is y.

w.
# In3Br4 PBE relaxed
# **V**: 225 Å³/cell
data_In3Br4
_cell_length_a 6.9252
_cell_length_b 6.9252
_cell_length_c 5.4180
_cell_angle_alpha 90.00
_cell_angle_beta 90.00
_cell_angle_gamma 120.00
_space_group_name_H-M_alt 'P 6/m m m'
_space_group_IT_number 191
_space_group_name_Hall '-P 6 2'
loop_
_atom_site_label
_atom_site_type_symbol
_atom_site_fract_x
_atom_site_fract_y
_atom_site_fract_z
_atom_site_occupancy
In1 In 0.0000 0.5000 0.0000 1
Br1 Br 0.0000 0.0000 0.2523 1
Br2 Br 0.3333 0.6667 0.5000 1

x.
# In3Br4 PBE relaxed
# **V**: 1689 Å³/cell
data_In3Br4
_cell_length_a 9.2600
_cell_length_b 9.2600
_cell_length_c 22.7459
_cell_angle_alpha 90.00
_cell_angle_beta 90.00
_cell_angle_gamma 120.00
_space_group_name_H-M_alt 'R -3 m'
_space_group_IT_number 166
_space_group_name_Hall '-R 3 2"'
loop_
_atom_site_label
_atom_site_type_symbol
_atom_site_fract_x
_atom_site_fract_y
_atom_site_fract_z
_atom_site_occupancy
In1 In 0.0000 0.0000 0.0000 1
In2 In 0.0000 0.0000 0.3749 1
In3 In 0.0000 0.5000 0.5000 1
Br1 Br 0.0000 0.0000 0.2520 1
Br2 Br 0.0050 0.5025 0.2506 1

Tell me which of them is the most stable. Sure, it is x.